## LiSb2Ru (PBE)

Data for an optimized crystal structure of LiSb2Ru.

Cell lengths 3.288, 3.288, 7.408 Å; angles 90.00, 90.00, 90.00 degrees
Positions (direct):
Li1 0.000 0.000 0.000
Sb1 0.000 0.000 0.368
Sb2 0.500 0.500 0.793
Ru1 0.500 0.500 0.178

Computed properties:
- theoretical density (g/cm3) = 7.29
- crystal system = tetragonal
- E_tot (Ha/atom) = -0.18162
- energy relative to the elements, uncorrected (meV per atom) = -83
- space-group type = P4mm, No. 99

=====

## CuAg4I6 (PBE)

Data for an optimized crystal structure of CuAg4I6.

Cell lengths 8.182, 8.182, 13.983 Å; angles 104.67, 104.67, 61.40 degrees
Positions (direct):
Cu1 0.240 0.760 0.500
Cu2 0.760 0.240 0.000
Ag1 0.157 0.367 0.242
Ag2 0.339 0.797 0.087
Ag3 0.367 0.157 0.742
Ag4 0.666 0.849 0.437
Ag5 0.797 0.339 0.587
Ag6 0.849 0.666 0.937
Ag7 0.857 0.989 0.244
Ag8 0.989 0.857 0.744
I1 0.009 0.492 0.750
I2 0.043 0.080 0.441
I3 0.054 0.566 0.436
I4 0.080 0.043 0.941
I5 0.099 0.653 0.127
I6 0.327 0.810 0.690
I7 0.492 0.009 0.250
I8 0.554 0.564 0.434
I9 0.564 0.554 0.934
I10 0.566 0.054 0.936
I11 0.653 0.099 0.627
I12 0.810 0.327 0.190

Computed properties:
- theoretical density (g/cm3) = 5.31
- crystal system = monoclinic
- E_tot (Ha/atom) = -0.08923
- energy relative to the elements, uncorrected (meV per atom) = -173
- space-group type = Cc, No. 9

=====

## Be2CdPb (PBE)

Data for an optimized crystal structure of Be2CdPb.

Cell lengths 4.741, 4.741, 4.741 Å; angles 124.30, 107.57, 97.74 degrees
Positions (direct):
Be1 0.176 0.176 0.000
Be2 0.824 0.824 0.000
Cd1 0.000 0.500 0.500
Pb1 0.500 0.000 0.500

Computed properties:
- theoretical density (g/cm3) = 7.25
- crystal system = orthorhombic
- E_tot (Ha/atom) = -0.08683
- energy of formation from the pure elements (meV/atom) = 656
- space-group type = Immm, No. 71

=====

## Sc4ZnIn3 (PBE)

Data for an optimized crystal structure of Sc4ZnIn3.

Cell lengths 3.389, 3.389, 15.025 Å; angles 90.00, 90.00, 90.00 degrees
Positions (direct):
Sc1 0.000 0.000 0.107
Sc2 0.000 0.000 0.368
Sc3 0.000 0.000 0.632
Sc4 0.000 0.000 0.893
Zn1 0.500 0.500 0.000
In1 0.500 0.500 0.237
In2 0.500 0.500 0.500
In3 0.500 0.500 0.763

Computed properties:
- theoretical density (g/cm3) = 5.68
- crystal system = tetragonal
- E_tot (Ha/atom) = -0.17544
- energy of formation from the pure elements (meV/atom) = -422
- space-group type = P4/mmm, No. 123

=====

## LiSm4Th3Se8 (PBE)

Data for an optimized crystal structure of LiSm4Th3Se8.

Cell lengths 8.333, 8.333, 8.333 Å; angles 59.99, 59.99, 59.99 degrees
Positions (direct):
Li1 0.000 0.000 0.000
Sm1 0.000 0.000 0.500
Sm2 0.000 0.500 0.000
Sm3 0.500 0.000 0.000
Sm4 0.500 0.500 0.500
Th1 0.000 0.500 0.500
Th2 0.500 0.000 0.500
Th3 0.500 0.500 0.000
Se1 0.240 0.758 0.758
Se2 0.242 0.242 0.760
Se3 0.242 0.760 0.242
Se4 0.248 0.248 0.248
Se5 0.752 0.752 0.752
Se6 0.758 0.240 0.758
Se7 0.758 0.758 0.240
Se8 0.760 0.242 0.242

Computed properties:
- theoretical density (g/cm3) = 7.86
- crystal system = trigonal
- E_tot (Ha/atom) = -0.22433
- energy relative to the elements, uncorrected (meV per atom) = -1671
- space-group type = R-3m, No. 166

=====

## MgAg2W (PBE)

Data for an optimized crystal structure of MgAg2W.

Cell lengths 4.951, 4.951, 2.847 Å; angles 90.00, 90.00, 90.00 degrees
Positions (direct):
Mg1 0.000 0.000 0.000
Ag1 0.000 0.500 0.500
Ag2 0.500 0.000 0.500
W1 0.500 0.500 0.000

Computed properties:
- theoretical density (g/cm3) = 10.09
- crystal system = tetragonal
- E_tot (Ha/atom) = -0.16743
- energy of formation from the pure elements (meV/atom) = 507
- space-group type = P4/mmm, No. 123

=====

## VTcH2 (PBE)

Data for an optimized crystal structure of VTcH2.

Cell lengths 3.626, 3.626, 3.626 Å; angles 60.00, 60.00, 60.00 degrees
Positions (direct):
V1 0.000 0.000 0.000
Tc1 0.500 0.500 0.500
H1 0.250 0.250 0.250
H2 0.750 0.750 0.750

Computed properties:
- theoretical density (g/cm3) = 7.44
- crystal system = cubic
- E_tot (Ha/atom) = -0.22325
- space-group type = Fm-3m, No. 225

=====

## PtRhCl2 (PBE)

Data for an optimized crystal structure of PtRhCl2.

Cell lengths 3.144, 3.144, 8.305 Å; angles 90.00, 90.00, 124.06 degrees
Positions (direct):
Pt1 0.000 0.000 0.000
Rh1 0.000 0.000 0.500
Cl1 0.500 0.500 0.270
Cl2 0.500 0.500 0.730

Computed properties:
- theoretical density (g/cm3) = 9.01
- crystal system = orthorhombic
- E_tot (Ha/atom) = -0.14237
- energy relative to the elements, uncorrected (meV per atom) = 397
- space-group type = Cmmm, No. 65

=====

Please write out number 3 again, unchanged.
## Be2CdPb (PBE)

Data for an optimized crystal structure of Be2CdPb.

Cell lengths 4.741, 4.741, 4.741 Å; angles 124.30, 107.57, 97.74 degrees
Positions (direct):
Be1 0.176 0.176 0.000
Be2 0.824 0.824 0.000
Cd1 0.000 0.500 0.500
Pb1 0.500 0.000 0.500

Computed properties:
- theoretical density (g/cm3) = 7.25
- crystal system = orthorhombic
- E_tot (Ha/atom) = -0.08683
- energy of formation from the pure elements (meV/atom) = 656
- space-group type = Immm, No. 71

=====

Q: Which of these has the highest theoretical density?
A: MgAg2W

=====

Q: theoretical density of number 5 (LiSm4Th3Se8)?
A: 7.86 g/cm3

=====

Q: E_tot of number 8 (PtRhCl2)?
A: -0.14237 Ha/atom